Run a
## MgTlCoW (PBE-GGA)

Data for MgTlCoW after structural relaxation.

Cell: 4.5755 4.5755 4.5755 Å, 60.00 60.00 60.00°
Fractional coordinates of all 4 atoms:
Tl: 0.0000 0.0000 0.0000
Mg: 0.5000 0.5000 0.5000
W: 0.2500 0.2500 0.2500
Co: 0.7500 0.7500 0.7500

Values from the calculation:
V	16.93	Å³ per atom

---

Run b
## MgTlCoW (PBE-GGA)

Data for MgTlCoW after structural relaxation.

Cell: 4.5166 4.5166 4.5166 Å, 60.00 60.00 60.00°
Last column: magnetic moment on the atom in μB.
Fractional coordinates of all 4 atoms:
W: 0.5000 0.5000 0.5000  0.80
Mg: 0.2500 0.2500 0.2500  0.03
Tl: 0.0000 0.0000 0.0000  -0.03
Co: 0.7500 0.7500 0.7500  1.02

Values from the calculation:
V	16.29	Å³ per atom

---

Most stable of them? run b.

---

Run a
## YMgTlCo (PBE-GGA)

Data for YMgTlCo after structural relaxation.

Cell: 4.8495 4.8495 4.8495 Å, 60.00 60.00 60.00°
Fractional coordinates of all 4 atoms:
Mg: 0.5000 0.5000 0.5000
Y: 0.2500 0.2500 0.2500
Co: 0.7500 0.7500 0.7500
Tl: 0.0000 0.0000 0.0000

Values from the calculation:
V	20.16	Å³ per atom

---

Run b
## YMgTlCo (PBE-GGA)

Data for YMgTlCo after structural relaxation.

Cell: 4.8305 4.8305 4.8305 Å, 60.00 60.00 60.00°
Last column: magnetic moment on the atom in μB.
Fractional coordinates of all 4 atoms:
Mg: 0.2500 0.2500 0.2500  -0.01
Tl: 0.0000 0.0000 0.0000  0.01
Y: 0.5000 0.5000 0.5000  -0.05
Co: 0.7500 0.7500 0.7500  0.97

Values from the calculation:
V	19.93	Å³ per atom

---

Most stable of them? run b.

---

Run a
## MgZnCoW (PBE-GGA)

Data for MgZnCoW after structural relaxation.

Cell: 4.3007 4.3007 4.3007 Å, 60.00 60.00 60.00°
Last column: magnetic moment on the atom in μB.
Fractional coordinates of all 4 atoms:
Co: 0.7500 0.7500 0.7500  0.42
W: 0.5000 0.5000 0.5000  0.27
Mg: 0.2500 0.2500 0.2500  0.02
Zn: 0.0000 0.0000 0.0000  0.00

Values from the calculation:
V	14.06	Å³ per atom

---

Run b
## MgZnCoW (PBE-GGA)

Data for MgZnCoW after structural relaxation.

Cell: 4.3425 4.3425 4.3425 Å, 60.00 60.00 60.00°
Fractional coordinates of all 4 atoms:
Co: 0.7500 0.7500 0.7500
W: 0.2500 0.2500 0.2500
Zn: 0.0000 0.0000 0.0000
Mg: 0.5000 0.5000 0.5000

Values from the calculation:
V	14.48	Å³ per atom

---

Most stable of them? run a.

---

Run a
## TlCoNiMo (PBE-GGA)

Data for TlCoNiMo after structural relaxation.

Cell: 4.3780 4.3780 4.3780 Å, 60.00 60.00 60.00°
Fractional coordinates of all 4 atoms:
Mo: 0.2500 0.2500 0.2500
Ni: 0.7500 0.7500 0.7500
Co: 0.5000 0.5000 0.5000
Tl: 0.0000 0.0000 0.0000

Values from the calculation:
V	14.83	Å³ per atom

---

Run b
## TlCoNiMo (PBE-GGA)

Data for TlCoNiMo after structural relaxation.

Cell: 4.3510 4.3510 4.3510 Å, 60.00 60.00 60.00°
Fractional coordinates of all 4 atoms:
Co: 0.7500 0.7500 0.7500
Mo: 0.5000 0.5000 0.5000
Tl: 0.0000 0.0000 0.0000
Ni: 0.2500 0.2500 0.2500

Values from the calculation:
V	14.56	Å³ per atom

---

Most stable of them? run b.

---

Run a
## ZnCoNiMo (PBE-GGA)

Data for ZnCoNiMo after structural relaxation.

Cell: 4.1496 4.1496 4.1496 Å, 60.00 60.00 60.00°
Fractional coordinates of all 4 atoms:
Zn: 0.0000 0.0000 0.0000
Co: 0.7500 0.7500 0.7500
Ni: 0.2500 0.2500 0.2500
Mo: 0.5000 0.5000 0.5000

Values from the calculation:
V	12.63	Å³ per atom

---

Run b
## ZnCoNiMo (PBE-GGA)

Data for ZnCoNiMo after structural relaxation.

Cell: 4.1529 4.1529 4.1529 Å, 60.00 60.00 60.00°
Fractional coordinates of all 4 atoms:
Ni: 0.5000 0.5000 0.5000
Zn: 0.0000 0.0000 0.0000
Co: 0.7500 0.7500 0.7500
Mo: 0.2500 0.2500 0.2500

Values from the calculation:
V	12.66	Å³ per atom

---

Most stable of them? run a.

---

Run a
## Co3Mo2Os3 (PBE-GGA)

Data for Co3Mo2Os3 after structural relaxation.

Cell: 4.2464 5.3721 5.3721 Å, 60.28 90.00 90.00°
Fractional coordinates of all 8 atoms:
Co: 0.5000 0.6742 0.1524
Co: 0.5000 0.1524 0.6742
Co: 0.0000 0.8408 0.8408
Os: 0.5000 0.1662 0.1662
Os: 0.0000 0.3280 0.8254
Os: 0.0000 0.8254 0.3280
Mo: 0.5000 0.6758 0.6758
Mo: 0.0000 0.3372 0.3372

Values from the calculation:
V	13.30	Å³ per atom

---

Run b
## Co3Mo2Os3 (PBE-GGA)

Data for Co3Mo2Os3 after structural relaxation.

Cell: 5.3928 5.3928 4.2313 Å, 90.00 90.00 120.00°
Last column: magnetic moment on the atom in μB.
Fractional coordinates of all 8 atoms:
Os: 0.4948 0.9896 0.0000  -0.01
Os: 0.0104 0.5052 0.0000  -0.01
Os: 0.4948 0.5052 0.0000  -0.01
Co: 0.6678 0.8339 0.5000  0.17
Co: 0.1661 0.3322 0.5000  0.14
Co: 0.1661 0.8339 0.5000  0.13
Mo: 0.6667 0.3333 0.5000  -0.01
Mo: 0.0000 0.0000 0.0000  -0.05

Values from the calculation:
V	13.32	Å³ per atom

---

Run c
## Co3Mo2Os3 (PBE-GGA)

Data for Co3Mo2Os3 after structural relaxation.

Cell: 5.3356 4.2592 5.3389 Å, 90.00 119.83 90.00°
Fractional coordinates of all 8 atoms:
Os: 0.8393 0.5000 0.6735
Os: 0.3218 0.5000 0.1636
Os: 0.6719 0.0000 0.8419
Co: 0.1702 0.0000 0.8377
Co: 0.1609 0.0000 0.3260
Co: 0.8422 0.5000 0.1689
Mo: 0.3262 0.5000 0.6607
Mo: 0.6674 0.0000 0.3277

Values from the calculation:
V	13.16	Å³ per atom

---

Most stable of them? run c.